This record from Alexandria describes crystalline YMn2S2 at its relaxed geometry. The functional is PBEsol.

a b c (Å): 4.1827 4.1827 4.9927
angles (deg): 114.76 114.76 90.00
Last column: nearest neighbours and their distance in Å.
Element x y z (fractional)
Y: 0.0000 0.0000 0.0000  8 S 2.90, 10 Mn 2.93-3.15
S: 0.2500 0.7500 0.5000  4 Mn 2.29
S: 0.7500 0.2500 0.5000  4 Mn 2.29
Mn: 0.3648 0.3648 0.7296  1 Mn 2.18, 4 S 2.29
Mn: 0.6352 0.6352 0.2704  1 Mn 2.18, 4 S 2.29

***

This record from Alexandria describes crystalline MnZn3S4 at its relaxed geometry. The functional is PBEsol.

a b c (Å): 3.8085 3.8085 12.5353
angles (deg): 90.00 90.00 120.00
Last column: nearest neighbours and their distance in Å.
Element x y z (fractional)
Mn: 0.0000 0.0000 0.7529  4 S 2.37
Zn: 0.0000 0.0000 0.2504  4 S 2.32-2.33
Zn: 0.6667 0.3333 0.0038  4 S 2.32-2.33
Zn: 0.6667 0.3333 0.4968  4 S 2.32-2.33
S: 0.0000 0.0000 0.9416  3 Zn 2.33, 1 Mn 2.37
S: 0.0000 0.0000 0.4357  4 Zn 2.32-2.33
S: 0.6667 0.3333 0.6817  1 Zn 2.32, 3 Mn 2.37
S: 0.6667 0.3333 0.1890  4 Zn 2.32-2.33

***

This record from Alexandria describes crystalline MnZnS3 at its relaxed geometry. The functional is PBEsol.

a b c (Å): 4.4656 4.4656 4.4656
angles (deg): 90.00 90.00 90.00
Last column: nearest neighbours and their distance in Å.
Element x y z (fractional)
Zn: 0.5000 0.5000 0.5000  12 S 3.16
Mn: 0.0000 0.0000 0.0000  6 S 2.23
S: 0.0000 0.5000 0.0000  2 Mn 2.23
S: 0.0000 0.0000 0.5000  2 Mn 2.23
S: 0.5000 0.0000 0.0000  2 Mn 2.23

***

This record from Alexandria describes crystalline Mn4ZnS8 at its relaxed geometry. The functional is PBEsol.

a b c (Å): 6.5380 6.5380 7.1025
angles (deg): 62.60 62.60 60.00
Last column: nearest neighbours and their distance in Å.
Element x y z (fractional)
Mn: 0.0000 0.5000 0.0000  6 S 2.30-2.31
Mn: 0.5000 0.0000 0.0000  6 S 2.30-2.31
Mn: 0.5000 0.5000 0.0000  6 S 2.30-2.31
Mn: 0.0000 0.0000 0.0000  6 S 2.34
Zn: 0.5000 0.5000 0.5000  6 S 2.49
S: 0.7340 0.2440 0.7781  3 Mn 2.30-2.34, 1 Zn 2.49
S: 0.7560 0.7560 0.2219  3 Mn 2.30-2.34, 1 Zn 2.49
S: 0.2660 0.7560 0.2219  3 Mn 2.30-2.34, 1 Zn 2.49
S: 0.7560 0.2660 0.2219  3 Mn 2.30-2.34, 1 Zn 2.49
S: 0.7400 0.7400 0.7800  3 Mn 2.31
S: 0.2600 0.2600 0.2200  3 Mn 2.31
S: 0.2440 0.7340 0.7781  3 Mn 2.30-2.34, 1 Zn 2.49
S: 0.2440 0.2440 0.7781  3 Mn 2.30-2.34, 1 Zn 2.49

***

Calculated raw formation energy, -0.727 -0.689 0.190 -0.556 eV per atom (same order as the records).
Calculated size of the total moment, 0.37 5.00 3.12 11.01 μB/cell (same order as the records).